Material: CaSm4V4O12
Method: DFT, PBE+U
State: relaxed

a = 5.862 Å, b = 6.142 Å, c = 7.714 Å
α = 88.69°, β = 88.29°, γ = 81.92°
Positions (direct):
Ca 0.000 0.000 0.000
Sm 0.378 0.369 0.416
Sm 0.427 0.228 0.923
Sm 0.742 0.669 0.878
Sm 0.844 0.856 0.418
V 0.310 0.788 0.657
V 0.395 0.798 0.181
V 0.910 0.287 0.657
V 0.914 0.378 0.200
O 0.005 0.351 0.917
O 0.043 0.587 0.597
O 0.102 0.655 0.222
O 0.223 0.125 0.620
O 0.225 0.140 0.208
O 0.349 0.850 0.917
O 0.488 0.741 0.422
O 0.555 0.465 0.713
O 0.573 0.480 0.118
O 0.677 0.940 0.127
O 0.768 0.012 0.751
O 0.779 0.241 0.423

Calculated values
ρ (g/cm3): 6.27
SG: P1, No. 1
V (Å³/atom): 13.09
Total energy (eV per atom): -7.80

=====

Material: CaSmV4O12
Method: DFT, PBE+U
State: relaxed

a = 5.269 Å, b = 5.269 Å, c = 7.599 Å
α = 90.00°, β = 90.00°, γ = 90.08°
Positions (direct):
Ca 0.000 0.000 0.000
Sm 0.500 0.500 0.500
V 0.000 0.500 0.247
V 0.000 0.500 0.753
V 0.500 0.000 0.247
V 0.500 0.000 0.753
O 0.000 0.500 0.000
O 0.000 0.500 0.500
O 0.211 0.789 0.250
O 0.211 0.789 0.750
O 0.293 0.293 0.253
O 0.293 0.293 0.747
O 0.500 0.000 0.000
O 0.500 0.000 0.500
O 0.707 0.707 0.253
O 0.707 0.707 0.747
O 0.789 0.211 0.250
O 0.789 0.211 0.750

Calculated values
ρ (g/cm3): 4.61
SG: Cmmm, No. 65
V (Å³/atom): 11.72
Total energy (eV per atom): -7.50